A plane-wave DFT calculation with GGA+U was carried out for a geometry-optimized K2VZn3F12 structure.

Computed properties:
E_tot (eV per cell): -81.806

Structure (POSCAR):
```
K2VZn3F12
1.0
3.646 2.105 6.319
-3.646 2.105 6.319
0.000 -4.210 6.319
K V Zn F
2 1 3 12
direct
0.097 0.097 0.097 K
0.903 0.903 0.903 K
0.500 0.500 0.500 V
0.000 0.500 0.500 Zn
0.500 0.000 0.500 Zn
0.500 0.500 0.000 Zn
0.171 0.171 0.579 F
0.171 0.579 0.171 F
0.197 0.569 0.569 F
0.421 0.829 0.829 F
0.431 0.431 0.803 F
0.431 0.803 0.431 F
0.569 0.197 0.569 F
0.569 0.569 0.197 F
0.579 0.171 0.171 F
0.803 0.431 0.431 F
0.829 0.421 0.829 F
0.829 0.829 0.421 F
```